The following is a DFT calculation (PBE-GGA) of Tl2SiAuS4 after structural relaxation.

* M_tot: 0.00 μB/f.u.
* formation energy from raw total energies: -363 meV/atom
* SG: No. 5

abc: 7.2593 7.1189 6.4793
angles: 124.52 125.24 88.22
Fractional coordinates of all 8 atoms:
Tl 0.5182 0.0183 0.0366
Tl 0.2445 0.2444 0.4892
Si 0.7347 0.7347 0.4694
Au 0.9291 0.4291 0.8581
S 0.7345 0.6852 0.7709
S 0.8025 0.4431 0.1897
S 0.3874 0.7466 0.1899
S 0.0361 0.0856 0.7702


The following is a DFT calculation (PBE-GGA) of VIrAu2 after structural relaxation.

* M_tot: 2.06 μB/f.u.
* polymorph energy (0 for the lowest one): 300 meV/atom
* calculated formation energy: 0.5517 eV per atom
* SG: No. 122

abc: 7.3598 7.3598 5.8313
angles: 50.87 50.87 90.00
Last column: magnetic moment on the atom in μB.
Fractional coordinates of all 8 atoms:
Ir 0.0000 0.0000 0.0000  -0.21
Ir 0.7500 0.2500 0.5000  -0.21
Au 0.6205 0.1250 0.2500  0.02
Au 0.1295 0.6250 0.2500  0.02
Au 0.3750 0.3795 0.7500  0.02
Au 0.8750 0.8705 0.7500  0.02
V 0.5000 0.5000 0.0000  1.96
V 0.2500 0.7500 0.5000  1.96


The following is a DFT calculation (PBE-GGA) of Ce8TeIr2 after structural relaxation.

* M_tot: 3.05 μB/f.u.
* formation energy from raw total energies: -439 meV/atom
* SG: No. 12

abc: 5.2253 8.3900 7.9809
angles: 58.29 83.22 77.03
Last column: magnetic moment on the atom in μB.
Fractional coordinates of all 11 atoms:
Ce 0.9374 0.0736 0.2177  0.23
Ce 0.9374 0.2913 0.7823  0.23
Ce 0.3148 0.4052 0.0000  0.46
Ce 0.5000 0.7510 0.4981  0.34
Ce 0.5000 0.2490 0.5019  0.34
Ce 0.6852 0.5948 0.0000  0.46
Ce 0.0626 0.7087 0.2177  0.23
Ce 0.0626 0.9264 0.7823  0.23
Te 0.5000 0.0000 0.0000  0.00
Ir 0.0000 0.3081 0.3838  -0.02
Ir 0.0000 0.6919 0.6162  -0.02


The following is a DFT calculation (PBE-GGA) of Ac4IrS2Cl after structural relaxation.

* M_tot: 0.00 μB/f.u.
* formation energy from raw total energies: -1530 meV/atom
* SG: No. 10

abc: 4.2518 7.6970 7.6161
angles: 71.33 90.00 90.00
Fractional coordinates of all 8 atoms:
Ac 0.0000 0.7593 0.7362
Ac 0.0000 0.2407 0.2638
Ac 0.5000 0.7386 0.2695
Ac 0.5000 0.2614 0.7305
Ir 0.0000 0.5000 0.5000
S 0.0000 0.0000 0.0000
S 0.5000 0.0000 0.5000
Cl 0.5000 0.5000 0.0000


The following is a DFT calculation (PBE-GGA) of CoBr2Cl after structural relaxation.

* M_tot: 2.93 μB/f.u.
* polymorph energy (0 for the lowest one): 432 meV/atom
* formation energy from raw total energies: 106 meV/atom
* SG: No. 25

abc: 3.0637 3.1619 10.9306
angles: 90.00 90.00 90.00
Last column: magnetic moment on the atom in μB.
Fractional coordinates of all 4 atoms:
Co 0.5000 0.5000 0.7411  2.37
Br 0.0000 0.0000 0.8943  0.24
Br 0.5000 0.5000 0.2533  0.00
Cl 0.0000 0.0000 0.6113  0.21


The following is a DFT calculation (PBE-GGA) of Ba3Pt4 after structural relaxation.

* M_tot: 0.00 μB/f.u.
* polymorph energy (0 for the lowest one): 118 meV/atom
* calculated formation energy: -0.1155 eV per atom
* SG: No. 191

abc: 7.5411 7.5411 4.7464
angles: 90.00 90.00 120.00
Fractional coordinates of all 7 atoms:
Ba 0.0000 0.5000 0.0000
Ba 0.5000 0.5000 0.0000
Ba 0.5000 0.0000 0.0000
Pt 0.0000 0.0000 0.2506
Pt 0.0000 0.0000 0.7494
Pt 0.6667 0.3333 0.5000
Pt 0.3333 0.6667 0.5000